## TiNiSb2 (PBE)

Data for crystalline TiNiSb2 at its relaxed geometry.

Unit cell a=4.7447 b=4.7447 c=4.7447 alpha=60.00 beta=60.00 gamma=60.00
Closest atoms and distances in Å follow each position.
Positions (direct):
1 Sb 0.2500 0.2500 0.2500  4 Ni 2.91, 4 Ti 2.91
2 Sb 0.7500 0.7500 0.7500  4 Ni 2.91, 4 Ti 2.91
3 Ti 0.0000 0.0000 0.0000  8 Sb 2.91
4 Ni 0.5000 0.5000 0.5000  8 Sb 2.91

Properties
As for the spin magnetization: 0.0 μB/f.u. The calculated density is 7.697 g/cm3. The value obtained for the formation energy from raw total energies is 0.12 eV/f.u.